(1)
Na2GeB, relaxed, DFT PBE; formation energy from the elements = 917 meV per atom; polymorph energy (0 for the lowest one) = 510 meV per atom; electronic total energy = -10.264 eV per cell
1.0
0.0000 3.3405 3.3405
3.3405 0.0000 3.3405
3.3405 3.3405 0.0000
Ge Na B
1 2 1
direct
0.5000 0.5000 0.5000
0.2500 0.2500 0.2500
0.7500 0.7500 0.7500
0.0000 0.0000 0.0000

(2)
NaGeB, relaxed, DFT PBE; formation energy from the elements = 372 meV per atom; electronic total energy = -45.986 eV per cell
1.0
6.8542 0.0000 0.0000
0.0000 3.8836 0.0000
0.0000 0.0000 6.3611
Ge B Na
4 4 4
direct
0.1614 0.7500 0.0932
0.6614 0.7500 0.4068
0.3386 0.2500 0.5932
0.8386 0.2500 0.9068
0.3306 0.7500 0.3999
0.1694 0.2500 0.8999
0.8306 0.7500 0.1001
0.6694 0.2500 0.6001
0.4795 0.2500 0.1616
0.9795 0.2500 0.3384
0.5205 0.7500 0.8384
0.0205 0.7500 0.6616

(3)
NaGeB, relaxed, DFT PBE; formation energy from the elements = 186 meV per atom; electronic total energy = -24.111 eV per cell
1.0
3.4288 0.0004 -0.0008
0.0011 10.5268 0.0043
1.7142 5.2649 3.1391
Ge Na B
2 2 2
direct
0.1250 0.7870 0.2504
0.6251 0.9629 0.2500
0.7321 0.6496 0.0355
0.2322 0.3150 0.0355
0.1687 0.1687 0.6626
0.6687 0.1687 0.6626

(4)
NaGeB, relaxed, DFT PBE; formation energy from the elements = 130 meV per atom; electronic total energy = -24.445 eV per cell
1.0
-1.8374 0.8086 2.9475
3.1593 -1.6336 0.2602
4.2362 8.2523 0.3769
Ge Na B
2 2 2
direct
0.6667 0.3333 0.7500
0.3333 0.6667 0.2500
0.0000 0.0000 0.5000
0.0000 0.0000 0.0000
0.3333 0.6667 0.7500
0.6667 0.3333 0.2500

(5)
NaGeB, relaxed, DFT PBE; formation energy from the elements = 230 meV per atom; electronic total energy = -23.849 eV per cell
1.0
0.2395 2.6663 8.8274
-1.5205 -5.9899 -6.8483
2.9684 -1.0104 0.2246
Na Ge B
2 2 2
direct
0.0925 0.9075 0.2500
0.9075 0.0925 0.7500
0.2717 0.7283 0.7500
0.7283 0.2717 0.2500
0.5000 0.5000 0.5000
0.5000 0.5000 0.0000

(6)
Na2GeBO4, relaxed, DFT PBE; formation energy without anion corrections = -1307 kJ/mol of formula units; electronic total energy = -47.312 eV per cell
1.0
0.2803 4.7525 -1.7755
-4.1800 -2.7564 -0.8644
-0.4337 -0.7861 5.0011
Na B O Ge
2 1 4 1
direct
0.5000 0.7500 0.2500
0.0000 0.0000 0.0000
0.0000 0.5000 0.5000
0.3477 0.8147 0.7624
0.9477 0.5330 0.1853
0.6523 0.4147 0.4670
0.0523 0.2376 0.5853
0.5000 0.2500 0.7500